The following is a PBE calculation of an optimized crystal structure of TmScCo2, from the Alexandria database.

Calculated values
energy above the lowest structure with this stoichiometry: 4 meV/atom
ΔE_f: -270.8 meV per atom
M_tot: 0.14 μB/atom

Lattice parameters (Å, degrees): 4.533 4.533 4.533 60.00 60.00 60.00
Last column: magnetic moment on the atom in μB.
Fractional positions:
Sc 0.000 0.000 0.000  -0.14
Tm 0.500 0.500 0.500  -0.19
Co 0.250 0.250 0.250  0.49
Co 0.750 0.750 0.750  0.49